(1)
Tl5Zn2Se5: relaxed, PBE.

The structure belongs to space group C2/m (No. 12); the cell edges are 15.1441, 4.2115 and 11.4370 Å and the angles 90.00°, 105.43° and 90.00°. The distinct sites, in fractional coordinates, are Tl at (0.0000, 0.0000, 0.0000), Tl at (0.1515, 0.0000, 0.5471), Tl at (0.2491, 0.0000, 0.8466), Zn at (0.0263, 0.5000, 0.2819), Se at (0.0000, 0.5000, 0.5000), Se at (0.1129, 0.5000, 0.8928) and Se at (0.1174, 0.0000, 0.2763).

Its spin magnetization is 0.00 μB per formula unit. The value obtained for the formation energy without anion corrections is -0.421 eV/atom. As for the volume: 29.3 Å³ per atom.

=====

(2)
MgSi: relaxed, PBE.

The structure belongs to space group P1 (No. 1); the cell edges are 3.9342, 6.2352 and 10.0711 Å and the angles 94.23°, 97.36° and 106.85°. The distinct sites, in fractional coordinates, are Mg at (0.0000, 0.0000, 0.0000), Mg at (0.0213, 0.8501, 0.2888), Mg at (0.2669, 0.6726, 0.8052), Mg at (0.2905, 0.4138, 0.2796), Mg at (0.7314, 0.4362, 0.0097), Mg at (0.7551, 0.1760, 0.4839), Si at (0.0295, 0.0580, 0.7417), Si at (0.3991, 0.7270, 0.0940), Si at (0.4137, 0.5319, 0.5530), Si at (0.6103, 0.3162, 0.7365), Si at (0.6223, 0.1228, 0.1950) and Si at (0.9940, 0.7899, 0.5468).

Its spin magnetization is 0.00 μB per formula unit. The value obtained for the formation energy without anion corrections is 0.039 eV/atom. As for the volume: 19.4 Å³ per atom.

=====

Please write out number 2 again, unchanged.
MgSi: relaxed, PBE.

The structure belongs to space group P1 (No. 1); the cell edges are 3.9342, 6.2352 and 10.0711 Å and the angles 94.23°, 97.36° and 106.85°. The distinct sites, in fractional coordinates, are Mg at (0.0000, 0.0000, 0.0000), Mg at (0.0213, 0.8501, 0.2888), Mg at (0.2669, 0.6726, 0.8052), Mg at (0.2905, 0.4138, 0.2796), Mg at (0.7314, 0.4362, 0.0097), Mg at (0.7551, 0.1760, 0.4839), Si at (0.0295, 0.0580, 0.7417), Si at (0.3991, 0.7270, 0.0940), Si at (0.4137, 0.5319, 0.5530), Si at (0.6103, 0.3162, 0.7365), Si at (0.6223, 0.1228, 0.1950) and Si at (0.9940, 0.7899, 0.5468).

Its spin magnetization is 0.00 μB per formula unit. The value obtained for the formation energy without anion corrections is 0.039 eV/atom. As for the volume: 19.4 Å³ per atom.